## La2AgAu (GGA-PBE)

Data for a relaxed La2AgAu crystal.

Values from the calculation:
Theoretical density: 8.47 g cm⁻³
ΔH_f (0 K): -0.369 eV/atom
Energy above the most stable polymorph in this dataset: 169 meV per atom

Cell and atoms, written as extended XYZ:
```
4
Lattice="4.020 0.000 0.000 0.000 4.020 0.000 0.000 0.000 7.067" Properties=species:S:1:pos:R:3 pbc="T T T"
Ag 0.000 0.000 3.542
La 0.000 0.000 6.661
La 2.010 2.010 2.134
Au 2.010 2.010 5.330
```